# 1
Crystalline GeTePdO at its relaxed geometry. Source: OQMD, functional PBE-GGA.

Cell lengths 6.596, 11.263, 8.295 Å; angles 90.00, 90.00, 90.00 degrees
Space group Pbca (No. 61)
Unique sites:
Ge: 0.248 0.169 0.007 (multiplicity 8)
Te: 0.000 0.067 0.750 (multiplicity 8)
Pd: 0.002 0.680 0.250 (multiplicity 8)
O: 0.248 0.183 0.407 (multiplicity 8)

## Properties
- Distance to the lowest polymorph of the same formula: 326 meV per atom

---

# 2
Crystalline Er2FePt at its relaxed geometry. Source: OQMD, functional PBE-GGA.

Cell lengths 4.171, 5.595, 7.268 Å; angles 90.00, 90.00, 90.00 degrees
Space group Pmc2_1 (No. 26)
Unique sites:
Er: 0.000 0.123 0.000 (multiplicity 2)
Er: 0.500 0.374 0.350 (multiplicity 2)
Fe: 0.000 0.382 0.638 (multiplicity 2)
Pt: 0.500 0.128 0.712 (multiplicity 2)

## Properties
- E_form: -0.59 eV/atom
- Size of the total moment: 3.3 μB/cell